# 1
DFT (PBE) results for an optimized crystal structure of TbHo2In4.

Properties
The formation energy comes out at -0.320 eV per atom.

Cell and atoms, written as extended XYZ:
```
7
Lattice="6.057 0.024 -2.116 -3.012 5.228 -2.183 0.014 -0.024 6.416" Properties=species:S:1:pos:R:3 pbc="T T T"
Tb 0.000 0.000 0.000
Ho 1.522 2.626 -2.150
Ho 3.035 0.000 2.150
In 3.028 0.012 -1.058
In 1.529 2.614 1.058
In 0.007 -0.012 3.208
In -1.506 2.614 -1.091
```

***

# 2
DFT (PBE) results for an optimized crystal structure of KSi2Cl.

Properties
For the formation energy (no corrections), the calculation gives 0.385 eV/atom. The calculation puts the energy above the most stable polymorph in this dataset at 0.814 eV per atom.

Cell and atoms, written as extended XYZ:
```
4
Lattice="3.972 0.000 0.000 0.000 3.972 0.000 0.000 0.000 6.863" Properties=species:S:1:pos:R:3 pbc="T T T"
Cl 1.986 1.986 1.716
K 1.986 1.986 5.147
Si 0.000 0.000 0.571
Si 0.000 0.000 2.860
```

***

# 3
DFT (PBE) results for an optimized crystal structure of Ac6As2Ir3Br.

Properties
For the formation energy (no corrections), the calculation gives -1.014 eV/atom.

Cell and atoms, written as extended XYZ:
```
12
Lattice="-1.432 3.818 1.651 2.991 -2.433 8.225 8.194 2.737 -5.087" Properties=species:S:1:pos:R:3 pbc="T T T"
Ac 7.614 0.749 4.873
Ac 3.491 2.004 4.257
Ac 2.140 3.373 -0.084
Ac 7.503 5.831 -1.118
Ac 2.250 -1.709 5.906
Ac 6.262 2.119 0.532
As 6.355 3.390 3.535
As 3.399 0.733 1.254
Ir 0.780 0.693 4.938
Ir 4.813 4.614 -0.635
Ir 4.940 -0.491 5.423
Br -0.716 1.909 0.825
```

***

# 4
DFT (PBE) results for an optimized crystal structure of Na3Zn2Ag7.

Properties
The formation energy comes out at -0.057 eV per atom.

Cell and atoms, written as extended XYZ:
```
12
Lattice="-2.891 -0.006 -4.932 0.769 -4.239 -3.759 -7.231 -5.995 0.933" Properties=species:S:1:pos:R:3 pbc="T T T"
Na 0.000 0.000 0.000
Na -4.904 -6.197 -7.058
Na -4.450 -4.042 -0.700
Zn -8.636 -8.817 -4.867
Zn -0.718 -1.422 -2.891
Ag -4.677 -5.120 -3.879
Ag -4.078 -3.220 -5.899
Ag -2.237 -5.349 -5.309
Ag -2.624 -3.216 -3.418
Ag -5.276 -7.020 -1.859
Ag -6.730 -7.023 -4.340
Ag -7.117 -4.891 -2.449
```

***

# 5
DFT (PBE) results for an optimized crystal structure of RbAsCl5.

Properties
For the formation energy (no corrections), the calculation gives -0.899 eV/atom.

Cell and atoms, written as extended XYZ:
```
14
Lattice="-4.343 -5.822 2.432 0.402 -7.134 -2.761 5.358 -5.682 6.332" Properties=species:S:1:pos:R:3 pbc="T T T"
Rb -0.630 -7.899 1.418
Rb 2.047 -10.739 4.586
As 0.000 0.000 0.000
As 2.679 -2.841 3.166
Cl 0.164 -5.498 -1.084
Cl 2.836 -8.335 2.077
Cl 0.319 -7.641 4.845
Cl -2.996 -7.244 4.007
Cl 3.782 -13.841 4.333
Cl -2.365 -4.797 1.671
Cl 4.413 -11.393 1.997
Cl 1.099 -10.997 1.159
Cl -1.419 -10.303 3.927
Cl 1.253 -13.139 7.088
```

***

# 6
DFT (PBE) results for an optimized crystal structure of Ac2Zn3Au2.

Properties
The formation energy comes out at -0.348 eV per atom. The calculation puts the energy above the most stable polymorph in this dataset at 0.180 eV per atom.

Cell and atoms, written as extended XYZ:
```
7
Lattice="-1.841 -3.459 -1.160 1.566 0.591 -4.249 7.465 -5.462 4.445" Properties=species:S:1:pos:R:3 pbc="T T T"
Ac 6.396 -3.220 -0.546
Ac 2.634 -1.650 0.741
Zn 0.909 -2.090 -2.410
Zn 6.281 -6.240 1.446
Zn 0.000 0.000 0.000
Au 3.205 -3.527 -1.764
Au 3.986 -4.802 0.800
```

***

V for the records above, in order: 29.04 27.06 31.36 20.86 32.33 26.68 A^3/atom